The following is a DFT calculation (GGA+U) of a relaxed structure of NiPdOF2.

Cell: 4.2569 4.2569 3.8429 Å, 90.00 90.00 90.00°
With the nearest neighbours (Å) after each atom.
Space group P4/mmm (No. 123)
Symmetry-distinct sites (fractional):
Ni 0.0000 0.0000 0.0000 [1 per cell]  8 F 2.87, 4 O 3.01
Pd 0.5000 0.5000 0.5000 [1 per cell]  2 O 1.92, 4 F 2.13
O 0.5000 0.5000 0.0000 [1 per cell]  2 Pd 1.92
F 0.0000 0.5000 0.5000 [2 per cell]  2 Pd 2.13

Values from the calculation:
- energy above the most stable polymorph in this dataset (meV per atom) = 345
- spin magnetization (μB per atom) = 0.164
- density of states at the Fermi level (states/eV/f.u.) = 4.01
- crystal system = tetragonal